[1]
PmCd2Ag5, optimized geometry, DFT GGA-PBE; energy = -21.41 eV for the cell shown; DFT formation energy = -72 meV per atom
1.0
3.181 0.000 0.000
1.590 7.363 0.315
1.590 1.663 7.180
Pm Ag Cd
1 5 2
Direct
0.000 0.000 0.000 Pm
0.373 0.852 0.402 Ag
0.000 0.500 0.500 Ag
0.373 0.402 0.852 Ag
0.627 0.598 0.148 Ag
0.627 0.148 0.598 Ag
0.750 0.750 0.750 Cd
0.250 0.250 0.250 Cd

=====

[2]
Pm2CdAg2, optimized geometry, DFT GGA-PBE; energy = -35.15 eV for the cell shown; DFT formation energy = -291 meV per atom
1.0
4.018 0.000 0.000
0.000 7.995 0.000
0.000 0.000 7.995
Ag Pm Cd
4 4 2
Direct
0.000 0.874 0.626 Ag
0.000 0.126 0.374 Ag
0.000 0.626 0.126 Ag
0.000 0.374 0.874 Ag
0.500 0.827 0.327 Pm
0.500 0.327 0.173 Pm
0.500 0.173 0.673 Pm
0.500 0.673 0.827 Pm
0.000 0.000 0.000 Cd
0.000 0.500 0.500 Cd

=====

[3]
PmCd9Ag2, optimized geometry, DFT GGA-PBE; energy = -40.66 eV for the cell shown; DFT formation energy = -137 meV per atom
1.0
-1.982 -2.782 6.745
-4.577 -7.980 -0.399
6.275 -5.578 3.780
Cd Ag Pm
18 4 2
Direct
0.080 0.920 0.320 Cd
0.599 0.080 0.320 Cd
0.999 0.680 0.920 Cd
0.000 0.000 0.000 Cd
0.750 0.500 0.500 Cd
0.670 0.180 0.580 Cd
0.151 0.180 0.420 Cd
0.751 0.580 0.820 Cd
0.080 0.320 0.920 Cd
0.321 0.080 0.680 Cd
0.751 0.820 0.580 Cd
0.670 0.580 0.180 Cd
0.999 0.920 0.680 Cd
0.429 0.820 0.420 Cd
0.599 0.320 0.080 Cd
0.429 0.420 0.820 Cd
0.321 0.680 0.080 Cd
0.151 0.420 0.180 Cd
0.375 0.750 0.750 Ag
0.875 0.250 0.750 Ag
0.875 0.750 0.250 Ag
0.875 0.250 0.250 Ag
0.500 0.000 0.000 Pm
0.250 0.500 0.500 Pm

=====

[4]
Pm3Cd4Ag2, optimized geometry, DFT GGA-PBE; energy = -26.10 eV for the cell shown; polymorph energy (0 for the lowest one) = 43 meV per atom; DFT formation energy = -276 meV per atom
1.0
5.244 0.000 0.000
-2.622 4.735 0.216
0.000 -1.557 9.027
Ag Cd Pm
2 4 3
Direct
0.278 0.555 0.605 Ag
0.722 0.445 0.395 Ag
0.058 0.117 0.360 Cd
0.942 0.883 0.640 Cd
0.682 0.364 0.083 Cd
0.318 0.636 0.917 Cd
0.376 0.751 0.278 Pm
0.624 0.249 0.722 Pm
0.000 0.000 0.000 Pm

=====

[5]
Pm4CdAg3, optimized geometry, DFT GGA-PBE; energy = -30.69 eV for the cell shown; polymorph energy (0 for the lowest one) = 0 meV per atom; DFT formation energy = -278 meV per atom
1.0
-2.351 2.868 -0.574
0.175 -0.905 -5.239
-8.264 -6.602 0.864
Pm Ag Cd
4 3 1
Direct
0.000 0.500 0.256 Pm
0.000 0.500 0.744 Pm
0.000 0.000 0.000 Pm
0.000 0.000 0.500 Pm
0.500 0.000 0.753 Ag
0.500 0.500 0.500 Ag
0.500 0.000 0.247 Ag
0.500 0.500 0.000 Cd

=====

[6]
Pm3Cd7Ag2, optimized geometry, DFT GGA-PBE; energy = -28.77 eV for the cell shown; DFT formation energy = -201 meV per atom
1.0
4.002 0.000 0.000
0.000 4.831 0.008
0.000 -2.396 15.574
Ag Cd Pm
2 7 3
Direct
0.500 0.642 0.281 Ag
0.500 0.358 0.719 Ag
0.500 0.916 0.834 Cd
0.500 0.728 0.456 Cd
0.000 0.000 0.000 Cd
0.000 0.422 0.843 Cd
0.000 0.578 0.157 Cd
0.500 0.084 0.166 Cd
0.500 0.272 0.544 Cd
0.500 0.500 0.000 Pm
0.000 0.821 0.643 Pm
0.000 0.179 0.357 Pm

=====

[7]
Pm3Cd9Ag2, optimized geometry, DFT GGA-PBE; energy = -31.62 eV for the cell shown; DFT formation energy = -245 meV per atom
1.0
4.709 0.000 1.265
1.862 8.182 2.464
0.176 -0.008 8.744
Cd Ag Pm
9 2 3
Direct
0.858 0.862 0.421 Cd
0.359 0.007 0.275 Cd
0.142 0.579 0.138 Cd
0.858 0.421 0.862 Cd
0.142 0.138 0.579 Cd
0.359 0.275 0.007 Cd
0.641 0.725 0.993 Cd
0.641 0.993 0.725 Cd
0.000 0.500 0.500 Cd
0.500 0.654 0.346 Ag
0.500 0.346 0.654 Ag
0.710 0.290 0.290 Pm
0.290 0.710 0.710 Pm
0.000 0.000 0.000 Pm

=====

[8]
Pm4CdAg3, optimized geometry, DFT GGA-PBE; energy = -30.43 eV for the cell shown; polymorph energy (0 for the lowest one) = 33 meV per atom; DFT formation energy = -245 meV per atom
1.0
3.737 0.000 0.000
0.000 4.917 0.000
0.000 0.000 11.754
Pm Ag Cd
4 3 1
Direct
0.500 0.500 0.357 Pm
0.000 0.000 0.155 Pm
0.000 0.500 0.844 Pm
0.500 0.000 0.645 Pm
0.500 0.000 0.923 Ag
0.000 0.000 0.427 Ag
0.000 0.500 0.574 Ag
0.500 0.500 0.074 Cd

=====

[9]
PmCd11Ag, optimized geometry, DFT GGA-PBE; energy = -19.21 eV for the cell shown; DFT formation energy = -119 meV per atom
1.0
5.448 0.022 2.270
2.691 7.054 1.121
0.015 0.011 7.637
Cd Ag Pm
11 1 1
Direct
0.008 0.647 0.347 Cd
0.356 0.647 0.653 Cd
0.496 0.785 0.211 Cd
0.644 0.353 0.347 Cd
0.000 0.500 0.000 Cd
0.707 0.785 0.789 Cd
0.500 0.000 0.500 Cd
0.504 0.215 0.789 Cd
0.293 0.215 0.211 Cd
0.000 0.000 0.500 Cd
0.992 0.353 0.653 Cd
0.500 0.500 0.000 Ag
0.000 0.000 0.000 Pm

=====

[10]
PmCd6Ag6, optimized geometry, DFT GGA-PBE; energy = -28.97 eV for the cell shown; DFT formation energy = -124 meV per atom
1.0
5.190 0.000 2.074
2.544 6.991 1.163
0.000 -0.032 7.530
Cd Ag Pm
6 6 1
Direct
0.694 0.806 0.806 Cd
0.306 0.194 0.194 Cd
0.653 0.347 0.347 Cd
0.000 0.654 0.346 Cd
0.000 0.346 0.654 Cd
0.347 0.653 0.653 Cd
0.500 0.000 0.500 Ag
0.500 0.500 0.000 Ag
0.500 0.223 0.777 Ag
0.000 0.000 0.500 Ag
0.000 0.500 0.000 Ag
0.500 0.777 0.223 Ag
0.000 0.000 0.000 Pm

=====

[11]
Pm2Cd5Ag3, optimized geometry, DFT GGA-PBE; energy = -49.74 eV for the cell shown; polymorph energy (0 for the lowest one) = 0 meV per atom; DFT formation energy = -224 meV per atom
1.0
-3.943 -2.278 1.600
4.018 -3.270 5.246
-0.510 11.163 7.350
Pm Cd Ag
4 10 6
Direct
0.824 0.205 0.648 Pm
0.176 0.705 0.352 Pm
0.517 0.283 0.033 Pm
0.483 0.783 0.967 Pm
0.877 0.775 0.754 Cd
0.299 0.875 0.597 Cd
0.051 0.593 0.103 Cd
0.949 0.093 0.897 Cd
0.606 0.951 0.212 Cd
0.394 0.451 0.788 Cd
0.714 0.975 0.428 Cd
0.286 0.475 0.572 Cd
0.123 0.275 0.246 Cd
0.701 0.375 0.403 Cd
0.393 0.056 0.786 Ag
0.227 0.164 0.454 Ag
0.773 0.664 0.546 Ag
0.051 0.988 0.102 Ag
0.607 0.556 0.214 Ag
0.949 0.488 0.898 Ag

=====

[12]
Pm2Cd8Ag, optimized geometry, DFT GGA-PBE; energy = -21.70 eV for the cell shown; DFT formation energy = -185 meV per atom
1.0
0.545 -3.778 -2.702
5.035 -2.027 3.850
-7.604 -1.713 4.909
Cd Pm Ag
8 2 1
Direct
0.363 0.129 0.726 Cd
0.602 0.416 0.203 Cd
0.637 0.871 0.274 Cd
0.021 0.728 0.042 Cd
0.855 0.835 0.709 Cd
0.145 0.165 0.291 Cd
0.398 0.584 0.797 Cd
0.979 0.272 0.958 Cd
0.220 0.694 0.440 Pm
0.780 0.306 0.560 Pm
0.500 0.000 0.000 Ag